Material: Sm4Tm5
Method: DFT, PBE-GGA
State: optimized geometry

Unit cell a=7.941 b=7.941 c=5.001 alpha=108.30 beta=108.30 gamma=84.31
Positions (direct):
1 Sm 0.000 0.333 0.166
2 Sm 0.000 0.667 0.834
3 Sm 0.333 0.000 0.166
4 Sm 0.667 0.000 0.834
5 Tm 0.000 0.000 0.500
6 Tm 0.335 0.335 0.835
7 Tm 0.335 0.665 0.500
8 Tm 0.665 0.335 0.500
9 Tm 0.665 0.665 0.165

Computed properties:
* E above lowest polymorph: 0 meV/atom
* DFT formation energy: 22 meV/atom